# IrPt2Rh

A relaxed IrPt2Rh crystal (GGA-PBE, Alexandria via LeMat-Bulk).

Cell and atoms, written as POSCAR:
```
IrPt2Rh
1.0
-2.426 4.069 0.761
-4.478 -1.024 1.384
4.270 -1.529 1.567
Rh Pt Ir
1 2 1
Cartesian
-3.452 1.522 1.073 Rh
0.000 0.000 0.000 Pt
-1.831 -0.515 2.012 Pt
-0.804 2.031 1.700 Ir
```

Properties
- uncorrected energy (eV/cell) = -28.24
- ΔH_f (0 K) (eV/atom) = 0.014
- total magnetization (μB/f.u.) = 0.00
- offset from the most stable computed form (meV per atom) = 37.1